(1)
The following is a GGA-PBEsol calculation of a relaxed PrCu3Pd2 crystal, from Alexandria. Values from VASP.

Calculated values
- formation energy (eV per formula unit) = -2.16
- symmetry = Imm2 (44)

```
&SYSTEM
  ibrav = 0, nat = 6, ntyp = 3
/
ATOMIC_SPECIES
Pr 140.91 Pr.upf
Cu 63.55 Cu.upf
Pd 106.42 Pd.upf
CELL_PARAMETERS angstrom
-3.793 -1.242 -2.840
0.736 -3.509 -3.673
-2.205 -4.578 0.722
ATOMIC_POSITIONS crystal
Pr 0.997 0.003 0.003
Cu 0.134 0.615 0.615
Cu 0.635 0.615 0.615
Cu 0.220 0.280 0.280
Pd 0.632 0.615 0.121
Pd 0.632 0.121 0.615
```

(2)
The following is a GGA-PBEsol calculation of a relaxed CuPdPt2 crystal, from Alexandria. Values from VASP.

Calculated values
- formation energy (eV per formula unit) = 0.19
- symmetry = Fm-3m (225)

```
&SYSTEM
  ibrav = 0, nat = 4, ntyp = 3
/
ATOMIC_SPECIES
Cu 63.55 Cu.upf
Pd 106.42 Pd.upf
Pt 195.08 Pt.upf
CELL_PARAMETERS angstrom
-1.436 2.866 -2.880
-3.368 2.512 0.956
0.581 4.215 0.681
ATOMIC_POSITIONS crystal
Cu 0.000 0.000 0.000
Pd 0.500 0.500 0.500
Pt 0.250 0.250 0.250
Pt 0.750 0.750 0.750
```

(3)
The following is a GGA-PBEsol calculation of a relaxed Rb2Cu2Pd crystal, from Alexandria. Values from VASP.

Calculated values
- formation energy (eV per formula unit) = 2.71
- symmetry = I4/mmm (139)

```
&SYSTEM
  ibrav = 0, nat = 5, ntyp = 3
/
ATOMIC_SPECIES
Cu 63.55 Cu.upf
Rb 85.47 Rb.upf
Pd 106.42 Pd.upf
CELL_PARAMETERS angstrom
-2.935 4.404 -2.212
-0.772 -4.878 -2.918
-1.718 -1.382 5.295
ATOMIC_POSITIONS crystal
Cu 0.000 0.660 0.660
Cu 0.000 0.340 0.340
Rb 0.500 0.750 0.250
Rb 0.500 0.250 0.750
Pd 0.000 0.000 0.000
```

(4)
The following is a GGA-PBEsol calculation of a relaxed CuRe2Pd crystal, from Alexandria. Values from VASP.

Calculated values
- formation energy (eV per formula unit) = 2.61
- symmetry = Fm-3m (225)

```
&SYSTEM
  ibrav = 0, nat = 4, ntyp = 3
/
ATOMIC_SPECIES
Re 186.21 Re.upf
Cu 63.55 Cu.upf
Pd 106.42 Pd.upf
CELL_PARAMETERS angstrom
4.279 0.000 0.000
2.139 3.705 0.000
2.139 1.235 3.494
ATOMIC_POSITIONS crystal
Re 0.250 0.250 0.250
Re 0.750 0.750 0.750
Cu 0.000 0.000 0.000
Pd 0.500 0.500 0.500
```

(5)
The following is a GGA-PBEsol calculation of a relaxed CuRe3Pd crystal, from Alexandria. Values from VASP.

Calculated values
- formation energy (eV per formula unit) = 10.05
- symmetry = Pm-3m (221)

```
&SYSTEM
  ibrav = 0, nat = 5, ntyp = 3
/
ATOMIC_SPECIES
Re 186.21 Re.upf
Cu 63.55 Cu.upf
Pd 106.42 Pd.upf
CELL_PARAMETERS angstrom
4.357 0.000 0.000
0.000 4.357 0.000
0.000 0.000 4.357
ATOMIC_POSITIONS crystal
Re 0.000 0.500 0.000
Re 0.000 0.000 0.500
Re 0.500 0.000 0.000
Cu 0.000 0.000 0.000
Pd 0.500 0.500 0.500
```

(6)
The following is a GGA-PBEsol calculation of a relaxed Cu3Pd13S7 crystal, from Alexandria. Values from VASP.

Calculated values
- raw formation energy (kcal/mol of atoms) = -7.12
- symmetry = R3m (160)

```
&SYSTEM
  ibrav = 0, nat = 23, ntyp = 3
/
ATOMIC_SPECIES
Cu 63.55 Cu.upf
Pd 106.42 Pd.upf
S 32.06 S.upf
CELL_PARAMETERS angstrom
-0.033 -3.945 6.462
-3.339 -4.146 -5.505
3.863 -6.535 -1.012
ATOMIC_POSITIONS crystal
Cu 0.229 0.231 0.769
Cu 0.998 0.769 0.000
Cu 0.998 0.000 0.231
Pd 0.661 0.245 0.755
Pd 0.416 0.000 0.245
Pd 0.416 0.755 0.000
Pd 0.339 0.580 0.420
Pd 0.578 0.336 0.421
Pd 0.578 0.579 0.664
Pd 0.999 0.421 0.243
Pd 0.242 0.664 0.757
Pd 0.759 0.420 0.000
Pd 0.999 0.757 0.579
Pd 0.759 0.000 0.580
Pd 0.242 0.243 0.336
Pd 0.781 0.000 0.000
S 0.499 0.000 0.499
S 0.499 0.501 0.000
S 0.999 0.499 0.501
S 0.299 0.000 0.000
S 0.700 0.695 0.305
S 0.005 0.305 0.000
S 0.005 0.000 0.695
```

(7)
The following is a GGA-PBEsol calculation of a relaxed Sc2Cu2Pd crystal, from Alexandria. Values from VASP.

Calculated values
- formation energy (eV per formula unit) = -2.05
- symmetry = P4/mbm (127)

```
&SYSTEM
  ibrav = 0, nat = 10, ntyp = 3
/
ATOMIC_SPECIES
Sc 44.96 Sc.upf
Cu 63.55 Cu.upf
Pd 106.42 Pd.upf
CELL_PARAMETERS angstrom
3.424 0.000 0.000
0.000 6.860 0.000
0.000 0.000 6.860
ATOMIC_POSITIONS crystal
Sc 0.500 0.178 0.678
Sc 0.500 0.678 0.822
Sc 0.500 0.822 0.322
Sc 0.500 0.322 0.178
Cu 0.000 0.377 0.877
Cu 0.000 0.877 0.623
Cu 0.000 0.623 0.123
Cu 0.000 0.123 0.377
Pd 0.000 0.000 0.000
Pd 0.000 0.500 0.500
```

(8)
The following is a GGA-PBEsol calculation of a relaxed Sc2Cu2Pd crystal, from Alexandria. Values from VASP.

Calculated values
- formation energy (eV per formula unit) = -1.29
- symmetry = I4/mmm (139)

```
&SYSTEM
  ibrav = 0, nat = 5, ntyp = 3
/
ATOMIC_SPECIES
Sc 44.96 Sc.upf
Cu 63.55 Cu.upf
Pd 106.42 Pd.upf
CELL_PARAMETERS angstrom
-2.057 -1.467 2.124
-0.696 -2.300 -2.263
7.199 -2.470 2.701
ATOMIC_POSITIONS crystal
Sc 0.396 0.396 0.793
Sc 0.604 0.604 0.207
Cu 0.250 0.750 0.500
Cu 0.750 0.250 0.500
Pd 0.000 0.000 0.000
```

(9)
The following is a GGA-PBEsol calculation of a relaxed SmCu4Pd crystal, from Alexandria. Values from VASP.

Calculated values
- formation energy (eV per formula unit) = -1.67
- symmetry = R3m (160)

```
&SYSTEM
  ibrav = 0, nat = 6, ntyp = 3
/
ATOMIC_SPECIES
Sm 150.36 Sm.upf
Cu 63.55 Cu.upf
Pd 106.42 Pd.upf
CELL_PARAMETERS angstrom
-0.671 4.853 -0.305
-4.357 1.794 -1.375
-2.930 2.299 3.524
ATOMIC_POSITIONS crystal
Sm 0.999 0.999 0.002
Cu 0.630 0.630 0.609
Cu 0.132 0.630 0.609
Cu 0.630 0.132 0.609
Cu 0.232 0.232 0.304
Pd 0.628 0.628 0.117
```

(10)
The following is a GGA-PBEsol calculation of a relaxed CuSnPd3 crystal, from Alexandria. Values from VASP.

Calculated values
- formation energy (eV per formula unit) = 2.30
- symmetry = Pm-3m (221)

```
&SYSTEM
  ibrav = 0, nat = 5, ntyp = 3
/
ATOMIC_SPECIES
Cu 63.55 Cu.upf
Sn 118.71 Sn.upf
Pd 106.42 Pd.upf
CELL_PARAMETERS angstrom
4.513 0.000 0.000
0.000 4.513 0.000
0.000 0.000 4.513
ATOMIC_POSITIONS crystal
Cu 0.000 0.000 0.000
Sn 0.500 0.500 0.500
Pd 0.000 0.500 0.000
Pd 0.000 0.000 0.500
Pd 0.500 0.000 0.000
```

(11)
The following is a GGA-PBEsol calculation of a relaxed TaCuPd2W crystal, from Alexandria. Values from VASP.

Calculated values
- formation energy (eV per formula unit) = 8.59
- symmetry = P4/mmm (123)

```
&SYSTEM
  ibrav = 0, nat = 5, ntyp = 4
/
ATOMIC_SPECIES
Cu 63.55 Cu.upf
Pd 106.42 Pd.upf
W 183.84 W.upf
Ta 180.95 Ta.upf
CELL_PARAMETERS angstrom
4.502 0.000 0.000
0.000 4.647 0.000
0.000 0.000 4.647
ATOMIC_POSITIONS crystal
Cu 0.500 0.000 0.000
Pd 0.000 0.000 0.500
Pd 0.000 0.500 0.000
W 0.000 0.000 0.000
Ta 0.500 0.500 0.500
```

(12)
The following is a GGA-PBEsol calculation of a relaxed TbCu4Pd crystal, from Alexandria. Values from VASP.

Calculated values
- formation energy (eV per formula unit) = -2.15
- symmetry = F-43m (216)

```
&SYSTEM
  ibrav = 0, nat = 6, ntyp = 3
/
ATOMIC_SPECIES
Tb 158.93 Tb.upf
Cu 63.55 Cu.upf
Pd 106.42 Pd.upf
CELL_PARAMETERS angstrom
-3.169 0.942 3.638
-1.710 -3.674 2.783
1.440 -0.412 4.682
ATOMIC_POSITIONS crystal
Tb 0.750 0.750 0.750
Cu 0.374 0.374 0.878
Cu 0.878 0.374 0.374
Cu 0.374 0.374 0.374
Cu 0.374 0.878 0.374
Pd 0.000 0.000 0.000
```

Final energy, respectively: -32.3, -24.0, -14.0, -34.3, -40.2, -128.3, -59.8, -29.1, -30.1, -24.2, -34.0, -30.5 eV per cell.